[1]
A plane-wave DFT calculation with GGA-PBE was carried out for SmY5Ho3 after structural relaxation.

a = 8.694 Å, b = 8.694 Å, c = 11.811 Å
α = 72.09°, β = 72.09°, γ = 45.46°
Sites, in units of the cell vectors:
Sm  0.802  0.198  0.750
Sm  0.198  0.802  0.250
Y  0.307  0.693  0.750
Y  0.134  0.235  0.049
Y  0.522  0.913  0.238
Y  0.866  0.765  0.951
Y  0.087  0.478  0.262
Y  0.693  0.307  0.250
Y  0.235  0.134  0.549
Y  0.765  0.866  0.451
Y  0.913  0.522  0.738
Y  0.478  0.087  0.762
Ho  0.000  0.000  0.000
Ho  0.340  0.448  0.511
Ho  0.000  0.000  0.500
Ho  0.660  0.552  0.489
Ho  0.448  0.340  0.011
Ho  0.552  0.660  0.989

Calculated formation energy, eV/atom: 0.22
Polymorph energy (0 for the lowest one), kJ/mol of formula units: 0
V, Å³ per atom: 33.33
Raw total energy, eV per atom: -5.422
Crystal system: monoclinic



[2]
A plane-wave DFT calculation with GGA-PBE was carried out for SmY6Ho3 after structural relaxation.

a = 6.400 Å, b = 11.541 Å, c = 11.541 Å
α = 130.55°, β = 90.00°, γ = 90.00°
Sites, in units of the cell vectors:
Sm  0.013  0.162  0.838
Sm  0.513  0.838  0.162
Y  0.071  0.740  0.621
Y  0.571  0.621  0.740
Y  0.328  0.458  0.895
Y  0.828  0.895  0.458
Y  0.315  0.985  0.015
Y  0.788  0.301  0.699
Y  0.288  0.699  0.301
Y  0.815  0.015  0.985
Y  0.328  0.105  0.542
Y  0.828  0.542  0.105
Y  0.071  0.379  0.260
Y  0.571  0.260  0.379
Ho  0.486  0.958  0.704
Ho  0.986  0.704  0.958
Ho  0.097  0.418  0.582
Ho  0.597  0.582  0.418
Ho  0.986  0.042  0.296
Ho  0.486  0.296  0.042

Calculated formation energy, eV/atom: 0.12
Polymorph energy (0 for the lowest one), kJ/mol of formula units: 0
V, Å³ per atom: 32.39
Raw total energy, eV per atom: -5.607
Crystal system: orthorhombic



[3]
A plane-wave DFT calculation with GGA-PBE was carried out for SmY15Ho4 after structural relaxation.

a = 5.039 Å, b = 5.039 Å, c = 25.206 Å
α = 90.00°, β = 90.00°, γ = 90.00°
Sites, in units of the cell vectors:
Sm  0.000  0.000  0.000
Y  0.500  0.500  0.000
Y  0.500  0.500  0.201
Y  0.500  0.500  0.400
Y  0.500  0.500  0.600
Y  0.500  0.500  0.799
Y  0.500  0.000  0.101
Y  0.500  0.000  0.300
Y  0.500  0.000  0.500
Y  0.500  0.000  0.700
Y  0.500  0.000  0.899
Y  0.000  0.500  0.101
Y  0.000  0.500  0.300
Y  0.000  0.500  0.500
Y  0.000  0.500  0.700
Y  0.000  0.500  0.899
Ho  0.000  0.000  0.201
Ho  0.000  0.000  0.400
Ho  0.000  0.000  0.600
Ho  0.000  0.000  0.799

Calculated formation energy, eV/atom: 0.02
V, Å³ per atom: 32.01
Raw total energy, eV per atom: -5.976
Crystal system: tetragonal



[4]
A plane-wave DFT calculation with GGA-PBE was carried out for SmY3Ho8 after structural relaxation.

a = 8.601 Å, b = 8.601 Å, c = 8.601 Å
α = 97.78°, β = 136.23°, γ = 98.19°
Sites, in units of the cell vectors:
Sm  0.000  0.000  0.000
Y  0.500  0.747  0.247
Y  0.500  0.253  0.753
Y  0.000  0.500  0.500
Ho  0.501  0.252  0.248
Ho  0.499  0.747  0.752
Ho  0.996  0.748  0.248
Ho  0.004  0.253  0.752
Ho  0.169  0.419  0.250
Ho  0.831  0.082  0.250
Ho  0.831  0.581  0.750
Ho  0.169  0.918  0.750

Calculated formation energy, eV/atom: 0.31
V, Å³ per atom: 34.03
Raw total energy, eV per atom: -4.749
Crystal system: orthorhombic